## FeRe2W (PBE-GGA)

Data for crystalline FeRe2W at its relaxed geometry.

Cell lengths 5.092, 5.092, 5.092 Å; angles 144.43, 129.42, 63.35 degrees
Each line ends with the local moment (μB).
Fractional coordinates of all 4 atoms:
1 Fe 0.750 0.250 0.500  2.39
2 Re 0.999 0.999 0.000  0.11
3 Re 0.501 0.501 0.000  0.11
4 W 0.250 0.750 0.500  0.02

Calculated values
Uncorrected energy   -11.42 eV per atom
SG   Immm
Energy of formation from the pure elements   0.1596 eV per atom